Entry 1:
First-principles (PBE-GGA) data for a relaxed HgSbHPb2 crystal, as listed in Alexandria.

Cell lengths 5.1973, 5.1973, 4.4793 Å; angles 90.00, 90.00, 90.00 degrees
Space group P4/mmm (No. 123)
Asymmetric unit:
Hg 0.0000 0.0000 0.0000 (multiplicity 1)
Sb 0.5000 0.5000 0.0000 (multiplicity 1)
H 0.0000 0.0000 0.5000 (multiplicity 1)
Pb 0.0000 0.5000 0.5000 (multiplicity 2)

Values from the calculation:
Mass density   10.1 g/cm3
DOS(E_F)   1.7 states/eV/cell
Total energy   -14.0 eV/cell


Entry 2:
First-principles (PBE-GGA) data for a relaxed HgHPb2Se crystal, as listed in Alexandria.

Cell lengths 6.0070, 6.0070, 3.4751 Å; angles 90.00, 90.00, 90.00 degrees
Space group P4/mmm (No. 123)
Asymmetric unit:
Hg 0.0000 0.0000 0.0000 (multiplicity 1)
H 0.5000 0.5000 0.0000 (multiplicity 1)
Pb 0.0000 0.5000 0.5000 (multiplicity 2)
Se 0.5000 0.5000 0.5000 (multiplicity 1)

Values from the calculation:
Mass density   9.2 g/cm3
DOS(E_F)   2.0 states/eV/cell
Total energy   -14.3 eV/cell


Entry 3:
First-principles (PBE-GGA) data for a relaxed SnHg2HPb crystal, as listed in Alexandria.

Cell lengths 5.1524, 5.1524, 4.3374 Å; angles 90.00, 90.00, 90.00 degrees
Space group P4/mmm (No. 123)
Asymmetric unit:
Sn 0.0000 0.0000 0.0000 (multiplicity 1)
Hg 0.0000 0.5000 0.5000 (multiplicity 2)
H 0.0000 0.0000 0.5000 (multiplicity 1)
Pb 0.5000 0.5000 0.0000 (multiplicity 1)

Values from the calculation:
Mass density   10.5 g/cm3
DOS(E_F)   2.2 states/eV/cell
Total energy   -10.4 eV/cell


Entry 4:
First-principles (PBE-GGA) data for a relaxed SrHg2HPb crystal, as listed in Alexandria.

Cell lengths 5.2352, 5.2352, 4.4978 Å; angles 90.00, 90.00, 90.00 degrees
Space group P4/mmm (No. 123)
Asymmetric unit:
Sr 0.0000 0.0000 0.0000 (multiplicity 1)
Hg 0.0000 0.5000 0.5000 (multiplicity 2)
H 0.0000 0.0000 0.5000 (multiplicity 1)
Pb 0.5000 0.5000 0.0000 (multiplicity 1)

Values from the calculation:
Mass density   9.4 g/cm3
DOS(E_F)   2.0 states/eV/cell
Total energy   -10.3 eV/cell


Entry 5:
First-principles (PBE-GGA) data for a relaxed SrHgHPb2 crystal, as listed in Alexandria.

Cell lengths 5.0192, 5.0192, 4.9893 Å; angles 90.00, 90.00, 90.00 degrees
Space group P4/mmm (No. 123)
Asymmetric unit:
Sr 0.0000 0.0000 0.0000 (multiplicity 1)
Hg 0.5000 0.5000 0.0000 (multiplicity 1)
H 0.0000 0.0000 0.5000 (multiplicity 1)
Pb 0.0000 0.5000 0.5000 (multiplicity 2)

Values from the calculation:
Mass density   9.3 g/cm3
DOS(E_F)   2.1 states/eV/cell
Total energy   -13.4 eV/cell


Entry 6:
First-principles (PBE-GGA) data for a relaxed TiHgH2Pb crystal, as listed in Alexandria.

Cell lengths 3.8635, 3.8635, 6.6256 Å; angles 90.00, 90.00, 90.00 degrees
Space group P4/mmm (No. 123)
Asymmetric unit:
Ti 0.0000 0.0000 0.0000 (multiplicity 1)
Hg 0.5000 0.5000 0.5000 (multiplicity 1)
H 0.0000 0.5000 0.5000 (multiplicity 2)
Pb 0.5000 0.5000 0.0000 (multiplicity 1)

Values from the calculation:
Mass density   7.7 g/cm3
DOS(E_F)   3.3 states/eV/cell
Total energy   -15.5 eV/cell


Entry 7:
First-principles (PBE-GGA) data for a relaxed TlHg2HPb crystal, as listed in Alexandria.

Cell lengths 5.2729, 5.2729, 4.4114 Å; angles 90.00, 90.00, 90.00 degrees
Space group P4/mmm (No. 123)
Asymmetric unit:
Tl 0.0000 0.0000 0.0000 (multiplicity 1)
Hg 0.0000 0.5000 0.5000 (multiplicity 2)
H 0.5000 0.5000 0.5000 (multiplicity 1)
Pb 0.5000 0.5000 0.0000 (multiplicity 1)

Values from the calculation:
Mass density   11.0 g/cm3
DOS(E_F)   2.4 states/eV/cell
Total energy   -8.9 eV/cell


Entry 8:
First-principles (PBE-GGA) data for a relaxed Y2HgHPb crystal, as listed in Alexandria.

Cell lengths 4.8870, 4.8870, 4.5458 Å; angles 90.00, 90.00, 90.00 degrees
Space group P4/mmm (No. 123)
Asymmetric unit:
Y 0.0000 0.5000 0.0000 (multiplicity 2)
Hg 0.0000 0.0000 0.5000 (multiplicity 1)
H 0.0000 0.0000 0.0000 (multiplicity 1)
Pb 0.5000 0.5000 0.5000 (multiplicity 1)

Values from the calculation:
Mass density   9.0 g/cm3
DOS(E_F)   2.5 states/eV/cell
Total energy   -22.0 eV/cell


Entry 9:
First-principles (PBE-GGA) data for a relaxed YHg2HPb crystal, as listed in Alexandria.

Cell lengths 4.8838, 4.8838, 4.4821 Å; angles 90.00, 90.00, 90.00 degrees
Space group P4/mmm (No. 123)
Asymmetric unit:
Y 0.0000 0.0000 0.0000 (multiplicity 1)
Hg 0.0000 0.5000 0.5000 (multiplicity 2)
H 0.0000 0.0000 0.5000 (multiplicity 1)
Pb 0.5000 0.5000 0.0000 (multiplicity 1)

Values from the calculation:
Mass density   10.8 g/cm3
DOS(E_F)   1.2 states/eV/cell
Total energy   -15.1 eV/cell


Entry 10:
First-principles (PBE-GGA) data for a relaxed ZnHg2HPb crystal, as listed in Alexandria.

Cell lengths 5.7852, 5.7852, 3.3214 Å; angles 90.00, 90.00, 90.00 degrees
Space group P4/mmm (No. 123)
Asymmetric unit:
Zn 0.0000 0.0000 0.0000 (multiplicity 1)
Hg 0.0000 0.5000 0.0000 (multiplicity 2)
H 0.0000 0.0000 0.5000 (multiplicity 1)
Pb 0.5000 0.5000 0.5000 (multiplicity 1)

Values from the calculation:
Mass density   10.1 g/cm3
DOS(E_F)   1.7 states/eV/cell
Total energy   -8.1 eV/cell


Entry 11:
First-principles (PBE-GGA) data for a relaxed HgH3Pd6 crystal, as listed in Alexandria.

Cell lengths 2.8916, 9.4378, 9.5723 Å; angles 70.55, 86.26, 83.09 degrees
Space group P-1 (No. 2)
Asymmetric unit:
Hg 0.0984 0.4121 0.3820 (multiplicity 2)
H 0.0637 0.2095 0.7798 (multiplicity 2)
H 0.1310 0.6766 0.0116 (multiplicity 2)
H 0.2389 0.0662 0.3312 (multiplicity 2)
Pd 0.1858 0.2530 0.1736 (multiplicity 2)
Pd 0.2042 0.0295 0.7398 (multiplicity 2)
Pd 0.2495 0.8549 0.0406 (multiplicity 2)
Pd 0.3007 0.8623 0.5426 (multiplicity 2)
Pd 0.3444 0.4525 0.8910 (multiplicity 2)
Pd 0.4534 0.6878 0.3398 (multiplicity 2)

Values from the calculation:
Mass density   11.4 g/cm3
DOS(E_F)   7.6 states/eV/cell
Total energy   -84.5 eV/cell


Entry 12:
First-principles (PBE-GGA) data for a relaxed Hg3H2Pd3 crystal, as listed in Alexandria.

Cell lengths 3.2940, 10.3099, 14.5013 Å; angles 90.00, 90.00, 90.00 degrees
Space group Cmcm (No. 63)
Asymmetric unit:
Hg 0.0000 0.0552 0.1079 (multiplicity 8)
Hg 0.0000 0.3647 0.2500 (multiplicity 4)
H 0.0000 0.2278 0.5507 (multiplicity 8)
Pd 0.0000 0.3430 0.0498 (multiplicity 8)
Pd 0.0000 0.3558 0.7500 (multiplicity 4)

Values from the calculation:
Mass density   12.4 g/cm3
DOS(E_F)   7.6 states/eV/cell
Total energy   -94.2 eV/cell


Number 1: size of the total moment 0.000 μB/atom. Number 2: size of the total moment 0.000 μB/atom. Number 3: size of the total moment 0.000 μB/atom. Number 4: size of the total moment 0.000 μB/atom. Number 5: size of the total moment 0.000 μB/atom. Number 6: size of the total moment 0.053 μB/atom. Number 7: size of the total moment 0.000 μB/atom. Number 8: size of the total moment 0.182 μB/atom. Number 9: size of the total moment 0.000 μB/atom. Number 10: size of the total moment 0.000 μB/atom. Number 11: size of the total moment 0.000 μB/atom. Number 12: size of the total moment 0.000 μB/atom.